1.
# Na2Sr5Li

A relaxed Na2Sr5Li crystal (PBE, Alexandria).

The structure in CIF format:
```
data_Na2Sr5Li
_space_group_name_H-M_alt 'P 1'
_space_group_IT_number 1
_cell_length_a 7.935
_cell_length_b 15.091
_cell_length_c 6.199
_cell_angle_alpha 90.00
_cell_angle_beta 90.00
_cell_angle_gamma 90.00
loop_
_space_group_symop_operation_xyz
'x,y,z'
loop_
_atom_site_label
_atom_site_fract_x
_atom_site_fract_y
_atom_site_fract_z
Na1 0.147 0.135 0.000
Na2 0.353 0.635 0.000
Na3 0.647 0.365 0.000
Na4 0.853 0.865 0.000
Sr1 0.000 0.000 0.500
Sr2 0.128 0.728 0.500
Sr3 0.163 0.392 0.000
Sr4 0.337 0.892 0.000
Sr5 0.372 0.228 0.500
Sr6 0.500 0.500 0.500
Sr7 0.628 0.772 0.500
Sr8 0.663 0.108 0.000
Sr9 0.837 0.608 0.000
Sr10 0.872 0.272 0.500
Li1 0.000 0.500 0.500
Li2 0.500 0.000 0.500
```

## Properties
Density of states at the Fermi level   0.72 states/eV per atom
Crystal system   orthorhombic

2.
# NaSrLi3

A relaxed NaSrLi3 crystal (PBE, Alexandria).

The structure in CIF format:
```
data_NaSrLi3
_space_group_name_H-M_alt 'P 1'
_space_group_IT_number 1
_cell_length_a 5.460
_cell_length_b 5.460
_cell_length_c 5.460
_cell_angle_alpha 90.00
_cell_angle_beta 90.00
_cell_angle_gamma 90.00
loop_
_space_group_symop_operation_xyz
'x,y,z'
loop_
_atom_site_label
_atom_site_fract_x
_atom_site_fract_y
_atom_site_fract_z
Na1 0.000 0.000 0.000
Sr1 0.500 0.500 0.500
Li1 0.000 0.000 0.500
Li2 0.000 0.500 0.000
Li3 0.500 0.000 0.000
```

## Properties
Density of states at the Fermi level   0.64 states/eV per atom
Energy above the lowest structure with this stoichiometry   0.133 eV per atom
Crystal system   cubic

3.
# Na2SrLi

A relaxed Na2SrLi crystal (PBE, Alexandria).

The structure in CIF format:
```
data_Na2SrLi
_space_group_name_H-M_alt 'P 1'
_space_group_IT_number 1
_cell_length_a 3.980
_cell_length_b 3.980
_cell_length_c 11.811
_cell_angle_alpha 100.80
_cell_angle_beta 100.80
_cell_angle_gamma 59.54
loop_
_space_group_symop_operation_xyz
'x,y,z'
loop_
_atom_site_label
_atom_site_fract_x
_atom_site_fract_y
_atom_site_fract_z
Na1 0.000 0.000 0.000
Na2 0.190 0.190 0.568
Sr1 0.765 0.765 0.283
Li1 0.595 0.595 0.785
```

## Properties
Density of states at the Fermi level   0.73 states/eV per atom
Energy above the lowest structure with this stoichiometry   0.072 eV per atom
Crystal system   monoclinic

4.
# Na9SrLi3

A relaxed Na9SrLi3 crystal (PBE, Alexandria).

The structure in CIF format:
```
data_Na9SrLi3
_space_group_name_H-M_alt 'P 1'
_space_group_IT_number 1
_cell_length_a 8.873
_cell_length_b 8.873
_cell_length_c 8.898
_cell_angle_alpha 97.34
_cell_angle_beta 97.34
_cell_angle_gamma 137.16
loop_
_space_group_symop_operation_xyz
'x,y,z'
loop_
_atom_site_label
_atom_site_fract_x
_atom_site_fract_y
_atom_site_fract_z
Na1 0.000 0.000 0.000
Na2 0.002 0.219 0.709
Na3 0.160 0.514 0.158
Na4 0.219 0.002 0.709
Na5 0.486 0.840 0.842
Na6 0.514 0.160 0.158
Na7 0.781 0.998 0.291
Na8 0.840 0.486 0.842
Na9 0.998 0.781 0.291
Sr1 0.500 0.500 0.500
Li1 0.000 0.500 0.500
Li2 0.500 0.000 0.500
Li3 0.500 0.500 0.000
```

## Properties
Density of states at the Fermi level   0.46 states/eV per atom
Crystal system   monoclinic

5.
# NaSr16Li12

A relaxed NaSr16Li12 crystal (PBE, Alexandria).

The structure in CIF format:
```
data_NaSr16Li12
_space_group_name_H-M_alt 'P 1'
_space_group_IT_number 1
_cell_length_a 11.202
_cell_length_b 11.202
_cell_length_c 11.320
_cell_angle_alpha 106.95
_cell_angle_beta 106.95
_cell_angle_gamma 106.77
loop_
_space_group_symop_operation_xyz
'x,y,z'
loop_
_atom_site_label
_atom_site_fract_x
_atom_site_fract_y
_atom_site_fract_z
Na1 0.000 0.000 0.000
Sr1 0.008 0.008 0.381
Sr2 0.008 0.626 0.387
Sr3 0.293 0.293 0.051
Sr4 0.294 0.899 0.039
Sr5 0.301 0.655 0.273
Sr6 0.307 0.678 0.691
Sr7 0.312 0.312 0.696
Sr8 0.626 0.008 0.387
Sr9 0.655 0.301 0.273
Sr10 0.662 0.895 0.684
Sr11 0.667 0.667 0.302
Sr12 0.671 0.919 0.048
Sr13 0.678 0.307 0.691
Sr14 0.895 0.662 0.684
Sr15 0.899 0.294 0.039
Sr16 0.919 0.671 0.048
Li1 0.098 0.485 0.867
Li2 0.153 0.969 0.712
Li3 0.160 0.347 0.359
Li4 0.343 0.971 0.537
Li5 0.347 0.160 0.359
Li6 0.421 0.611 0.995
Li7 0.485 0.098 0.867
Li8 0.488 0.488 0.484
Li9 0.606 0.606 0.802
Li10 0.611 0.421 0.995
Li11 0.969 0.153 0.712
Li12 0.971 0.343 0.537
```

## Properties
Density of states at the Fermi level   0.73 states/eV per atom
Crystal system   monoclinic

6.
# Na5Sr4Li2

A relaxed Na5Sr4Li2 crystal (PBE, Alexandria).

The structure in CIF format:
```
data_Na5Sr4Li2
_space_group_name_H-M_alt 'P 1'
_space_group_IT_number 1
_cell_length_a 9.189
_cell_length_b 4.334
_cell_length_c 11.654
_cell_angle_alpha 90.00
_cell_angle_beta 93.94
_cell_angle_gamma 90.00
loop_
_space_group_symop_operation_xyz
'x,y,z'
loop_
_atom_site_label
_atom_site_fract_x
_atom_site_fract_y
_atom_site_fract_z
Na1 0.000 0.000 0.000
Na2 0.059 0.000 0.310
Na3 0.306 0.000 0.843
Na4 0.694 0.000 0.157
Na5 0.941 0.000 0.690
Sr1 0.259 0.500 0.554
Sr2 0.342 0.500 0.139
Sr3 0.658 0.500 0.861
Sr4 0.741 0.500 0.446
Li1 0.444 0.000 0.371
Li2 0.556 0.000 0.629
```

## Properties
Density of states at the Fermi level   0.74 states/eV per atom
Crystal system   monoclinic

7.
# NaSr3Li3

A relaxed NaSr3Li3 crystal (PBE, Alexandria).

The structure in CIF format:
```
data_NaSr3Li3
_space_group_name_H-M_alt 'P 1'
_space_group_IT_number 1
_cell_length_a 12.170
_cell_length_b 12.170
_cell_length_c 12.170
_cell_angle_alpha 159.30
_cell_angle_beta 154.84
_cell_angle_gamma 32.80
loop_
_space_group_symop_operation_xyz
'x,y,z'
loop_
_atom_site_label
_atom_site_fract_x
_atom_site_fract_y
_atom_site_fract_z
Na1 0.000 0.000 0.000
Sr1 0.136 0.636 0.500
Sr2 0.423 0.423 0.000
Sr3 0.745 0.245 0.500
Li1 0.298 0.798 0.500
Li2 0.577 0.077 0.500
Li3 0.865 0.865 0.000
```

## Properties
Density of states at the Fermi level   0.68 states/eV per atom
Crystal system   orthorhombic

8.
# Na2SrLi

A relaxed Na2SrLi crystal (PBE, Alexandria).

The structure in CIF format:
```
data_Na2SrLi
_space_group_name_H-M_alt 'P 1'
_space_group_IT_number 1
_cell_length_a 11.477
_cell_length_b 11.477
_cell_length_c 11.477
_cell_angle_alpha 35.02
_cell_angle_beta 35.02
_cell_angle_gamma 35.02
loop_
_space_group_symop_operation_xyz
'x,y,z'
loop_
_atom_site_label
_atom_site_fract_x
_atom_site_fract_y
_atom_site_fract_z
Na1 0.081 0.580 0.580
Na2 0.420 0.420 0.919
Na3 0.420 0.919 0.420
Na4 0.580 0.081 0.580
Na5 0.580 0.580 0.081
Na6 0.919 0.420 0.420
Sr1 0.000 0.000 0.000
Sr2 0.143 0.143 0.143
Sr3 0.857 0.857 0.857
Li1 0.333 0.333 0.333
Li2 0.500 0.500 0.500
Li3 0.667 0.667 0.667
```

## Properties
Density of states at the Fermi level   0.69 states/eV per atom
Energy above the lowest structure with this stoichiometry   0.000 eV per atom
Crystal system   trigonal

9.
# NaSrLi

A relaxed NaSrLi crystal (PBE, Alexandria).

The structure in CIF format:
```
data_NaSrLi
_space_group_name_H-M_alt 'P 1'
_space_group_IT_number 1
_cell_length_a 6.836
_cell_length_b 6.836
_cell_length_c 6.836
_cell_angle_alpha 120.95
_cell_angle_beta 120.31
_cell_angle_gamma 88.91
loop_
_space_group_symop_operation_xyz
'x,y,z'
loop_
_atom_site_label
_atom_site_fract_x
_atom_site_fract_y
_atom_site_fract_z
Na1 0.000 0.000 0.000
Na2 0.500 0.000 0.500
Sr1 0.372 0.622 0.750
Sr2 0.628 0.378 0.250
Li1 0.000 0.000 0.500
Li2 0.000 0.500 0.000
```

## Properties
Density of states at the Fermi level   0.92 states/eV per atom
Energy above the lowest structure with this stoichiometry   0.000 eV per atom
Crystal system   orthorhombic

10.
# Na2Sr3Li7

A relaxed Na2Sr3Li7 crystal (PBE, Alexandria).

The structure in CIF format:
```
data_Na2Sr3Li7
_space_group_name_H-M_alt 'P 1'
_space_group_IT_number 1
_cell_length_a 10.930
_cell_length_b 10.930
_cell_length_c 10.930
_cell_angle_alpha 34.96
_cell_angle_beta 34.96
_cell_angle_gamma 34.96
loop_
_space_group_symop_operation_xyz
'x,y,z'
loop_
_atom_site_label
_atom_site_fract_x
_atom_site_fract_y
_atom_site_fract_z
Na1 0.167 0.167 0.167
Na2 0.833 0.833 0.833
Sr1 0.360 0.360 0.360
Sr2 0.500 0.500 0.500
Sr3 0.640 0.640 0.640
Li1 0.000 0.000 0.000
Li2 0.086 0.086 0.587
Li3 0.086 0.587 0.086
Li4 0.413 0.914 0.914
Li5 0.587 0.086 0.086
Li6 0.914 0.413 0.914
Li7 0.914 0.914 0.413
```

## Properties
Density of states at the Fermi level   0.85 states/eV per atom
Crystal system   trigonal

| no. | uncorrected energy (hartree per atom) |
| --- | --- |
| 1 | -0.058 |
| 2 | -0.057 |
| 3 | -0.053 |
| 4 | -0.053 |
| 5 | -0.063 |
| 6 | -0.055 |
| 7 | -0.062 |
| 8 | -0.056 |
| 9 | -0.059 |
| 10 | -0.064 |